Record 1
This record from Alexandria via LeMat-Bulk describes a relaxed structure of CsRbNa2Pt. The functional is PBE.

DFT formation energy: 0.076 eV per atom
E above lowest polymorph: 0.0033 eV/atom
Mass density: 3.3 g cm⁻³

abc: 5.8846 5.8846 6.5797
angles: 90.00 90.00 90.00
Last column: nearest neighbours and their distance in Å.
Space group P4/mmm (No. 123)
Unique sites:
Cs  0.0000  0.0000  0.0000 (multiplicity 1)  2 Pt 3.29
Rb  0.5000  0.5000  0.0000 (multiplicity 1)  4 Cs 4.16, 8 Na 4.41
Na  0.0000  0.5000  0.5000 (multiplicity 2)  2 Pt 2.94
Pt  0.0000  0.0000  0.5000 (multiplicity 1)  4 Na 2.94, 2 Cs 3.29

***

Record 2
This record from Alexandria via LeMat-Bulk describes a relaxed structure of CsRb2NaPt. The functional is PBE.

DFT formation energy: 0.049 eV per atom
E above lowest polymorph: 0.0000 eV/atom
Mass density: 2.9 g cm⁻³

abc: 6.5989 6.5989 6.7617
angles: 90.00 90.00 90.00
Last column: nearest neighbours and their distance in Å.
Space group P4/mmm (No. 123)
Unique sites:
Cs  0.0000  0.0000  0.0000 (multiplicity 1)  2 Pt 3.38
Rb  0.0000  0.5000  0.5000 (multiplicity 2)  2 Pt 3.30
Na  0.5000  0.5000  0.0000 (multiplicity 1)  4 Cs 4.67, 8 Rb 4.72
Pt  0.0000  0.0000  0.5000 (multiplicity 1)  4 Rb 3.30, 2 Cs 3.38

***

Record 3
This record from Alexandria via LeMat-Bulk describes a relaxed structure of Cs2RbNaPt. The functional is PBE.

DFT formation energy: 0.067 eV per atom
E above lowest polymorph: 0.0385 eV/atom
Mass density: 3.4 g cm⁻³

abc: 6.8913 6.8913 5.9285
angles: 90.00 90.00 90.00
Last column: nearest neighbours and their distance in Å.
Space group P4/mmm (No. 123)
Unique sites:
Cs  0.0000  0.5000  0.0000 (multiplicity 2)  2 Pt 3.45
Rb  0.0000  0.0000  0.5000 (multiplicity 1)  8 Cs 4.55, 4 Na 4.87
Na  0.5000  0.5000  0.5000 (multiplicity 1)  2 Pt 2.96
Pt  0.5000  0.5000  0.0000 (multiplicity 1)  2 Na 2.96

***

Record 4
This record from Alexandria via LeMat-Bulk describes a relaxed structure of Cs2NaSbPt. The functional is PBE.

E_form (uncorrected): -0.15 eV per atom
Mass density: 4.0 g cm⁻³

abc: 7.0719 7.0719 5.0108
angles: 90.00 90.00 90.00
Last column: nearest neighbours and their distance in Å.
Space group P4/mmm (No. 123)
Unique sites:
Cs  0.0000  0.5000  0.0000 (multiplicity 2)  2 Pt 3.54
Na  0.0000  0.0000  0.5000 (multiplicity 1)  8 Cs 4.33
Sb  0.5000  0.5000  0.5000 (multiplicity 1)  2 Pt 2.51
Pt  0.5000  0.5000  0.0000 (multiplicity 1)  2 Sb 2.51